No. 1
First-principles (PBE) data for crystalline TcMoP2Cl at its relaxed geometry, as listed in the Alexandria database.

POSCAR file:
```
TcMoP2Cl
1.0
4.5386 0.0000 0.0000
0.0000 4.5386 0.0000
0.0000 0.0000 5.0637
Tc Mo P Cl
1 1 2 1
Cartesian
0.0000 0.0000 0.0000
2.2693 2.2693 2.5319
0.0000 2.2693 0.0000
2.2693 0.0000 0.0000
0.0000 0.0000 2.5319
```

- Final energy: -5.8799 eV per atom
- Volume: 104.3 Å³ per cell
- SG: P4/mmm
- Calculated density: 4.64 g/cm3
- Offset from the most stable computed form: 0 meV per atom
- Energy relative to the elements, uncorrected: 0.8928 eV per atom

No. 2
First-principles (PBE) data for crystalline TbInGe at its relaxed geometry, as listed in the Alexandria database.

POSCAR file:
```
TbInGe
1.0
4.3330 0.0000 0.0000
-2.1665 3.7525 0.0000
0.0000 0.0000 4.6257
Tb In Ge
1 1 1
Cartesian
0.0000 0.0000 0.0000
0.0000 2.5016 2.6356
2.1665 1.2508 1.5139
```

- Final energy: -4.4557 eV per atom
- Volume: 75.2 Å³ per cell
- SG: P3m1
- E_form: -460.4 meV per atom
- Calculated density: 7.65 g/cm3

No. 3
First-principles (PBE) data for crystalline FePSe at its relaxed geometry, as listed in the Alexandria database.

POSCAR file:
```
FePSe
1.0
5.7823 0.0000 0.0000
0.0000 5.7008 0.0000
-2.2487 0.0000 5.3477
Fe P Se
4 4 4
Cartesian
0.7841 0.0547 1.1140
-0.3402 2.7957 3.7878
3.8738 2.9051 1.5599
2.7495 5.6461 4.2338
-1.0141 0.8083 4.4463
0.1103 2.0421 1.7724
3.4233 3.6588 3.5753
4.5476 4.8925 0.9014
1.6806 3.5559 0.7366
0.5563 4.9954 3.4104
2.9773 0.7055 1.9373
1.8529 2.1449 4.6112
```

- Final energy: -6.2588 eV per atom
- Volume: 176.3 Å³ per cell
- SG: P2_1/c
- Calculated density: 6.25 g/cm3
- Energy relative to the elements, uncorrected: -0.4731 eV per atom

No. 4
First-principles (PBE) data for crystalline PrNdHo2As4 at its relaxed geometry, as listed in the Alexandria database.

POSCAR file:
```
PrNdHo2As4
1.0
7.2618 0.0000 0.0000
0.0000 4.1997 0.0000
-2.4252 0.0000 6.8532
Pr Nd Ho As
1 1 2 4
Cartesian
0.0000 0.0000 0.0000
-1.2126 2.0999 3.4266
2.4183 0.0000 3.4266
3.6309 2.0999 0.0000
0.0710 0.0000 5.1591
1.2847 2.0999 1.7469
3.5520 2.0999 5.1063
4.7657 0.0000 1.6940
```

- Final energy: -6.1717 eV per atom
- Volume: 209.0 Å³ per cell
- SG: P2/m
- E_form: -1509.1 meV per atom
- Calculated density: 7.27 g/cm3

No. 5
First-principles (PBE) data for crystalline Tb2PrNd2Y2 at its relaxed geometry, as listed in the Alexandria database.

POSCAR file:
```
Tb2PrNd2Y2
1.0
11.4145 0.0000 0.0000
0.0000 5.1231 0.0000
-1.1296 0.0000 8.0348
Tb Pr Nd Y
4 2 4 4
Cartesian
1.1449 0.0000 3.4574
3.4327 2.5616 4.5774
6.8522 2.5616 3.4574
9.1399 0.0000 4.5774
0.0000 0.0000 0.0000
5.7072 2.5616 0.0000
0.0176 2.5616 5.7284
4.5600 0.0000 2.3065
5.7248 0.0000 5.7284
10.2672 2.5616 2.3065
2.2772 2.5616 1.1660
2.3004 0.0000 6.8688
7.9845 0.0000 1.1660
8.0076 2.5616 6.8688
```

- Final energy: -5.1996 eV per atom
- Volume: 469.9 Å³ per cell
- SG: C2/m
- E_form: 15.2 meV per atom
- Calculated density: 6.54 g/cm3

No. 6
First-principles (PBE) data for crystalline LiTaOs2Rh at its relaxed geometry, as listed in the Alexandria database.

POSCAR file:
```
LiTaOs2Rh
1.0
4.7427 0.0000 0.0000
0.0000 4.7427 0.0000
0.0000 0.0000 4.7075
Li Ta Os Rh
1 1 2 1
Cartesian
0.0000 0.0000 0.0000
2.3713 2.3713 0.0000
0.0000 2.3713 2.3537
2.3713 0.0000 2.3537
2.3713 2.3713 2.3537
```

- Final energy: -6.9248 eV per atom
- Volume: 105.9 Å³ per cell
- SG: P4/mmm
- E_form: 1790.7 meV per atom
- Calculated density: 10.53 g/cm3